DFT (GGA+U) results for an optimized crystal structure of Tm2SbMoO8.

Geometry as extended XYZ:
```
12
Lattice="-1.5128 -4.6789 -0.0735 4.7041 -1.3375 0.5483 -0.7212 0.1308 6.5070" Properties=species:S:1:pos:R:3 pbc="T T T"
O 1.9319 -4.2628 3.5944
O 0.2050 -1.6084 6.6445
O -0.5703 -4.0400 1.6566
Mo -0.3606 0.0654 3.2535
O 3.4031 -1.9116 2.0541
Sb 0.0000 0.0000 0.0000
O -0.9330 -3.9740 4.9277
Tm 1.0538 -2.9101 5.1272
O 2.2651 -4.2772 0.3373
O 3.0404 -1.8456 5.3252
O 0.5382 -1.6228 3.3873
Tm 1.4163 -2.9755 1.8546
```

Summary:
ρ in g/cm3: 7.167
Total moment in μB/cell: 1.00
SG: No. 65
Uncorrected energy in eV per atom: -7.4342
DOS(E_F) in states/eV/f.u.: 0.000